Compound: ScZn2RuF
Source: the Alexandria database
Functional: GGA-PBEsol
Structure: optimized geometry

The value obtained for the calculated total energy is -0.3312 Ry per atom. The uncorrected formation energy comes out at -0.1326 eV/atom. The calculation puts the theoretical density at 6.45 g cm⁻³.

It has space group P4/mmm (No. 123), with a = 4.2256 Å, b = 4.2256 Å, c = 4.2654 Å, α = 90.00°, β = 90.00° and γ = 90.00°. Symmetry generates all atoms from Sc at (0.0000, 0.0000, 0.0000), Zn at (0.0000, 0.5000, 0.5000), Ru at (0.5000, 0.5000, 0.0000) and F at (0.5000, 0.5000, 0.5000).